# 1
A relaxed structure of Ce6Hg2Ir. Source: the Alexandria database, functional PBE.

```
9
Lattice="-1.001 -0.197 -3.505 2.040 -8.489 -0.107 -8.082 2.521 2.168" Properties=species:S:1:pos:R:3 pbc="T T T"
Ce 0.736 -5.246 -1.817
Ce -2.872 -2.444 -0.943
Ce -5.409 1.431 -0.436
Ce 0.510 -2.123 -0.027
Ce -4.535 -4.477 1.547
Ce 0.023 -7.859 0.434
Hg -4.706 -1.150 1.409
Hg -1.336 -4.821 0.652
Ir 1.539 -8.587 -1.859
```

**Volume**: 241 Å³ per cell
**E_tot**: -5.323 eV/atom
**Fermi-level density of states**: 26.21 states/eV per cell

***

# 2
A relaxed structure of Ce5HgIr2. Source: the Alexandria database, functional PBE.

```
16
Lattice="1.240 -7.761 0.056 7.416 1.202 2.306 -6.272 3.015 5.208" Properties=species:S:1:pos:R:3 pbc="T T T"
Ce 1.312 -1.028 5.412
Ce 6.507 -4.189 3.743
Ce 0.000 0.000 0.000
Ce 4.328 -3.279 1.181
Ce -4.123 0.646 3.828
Ce -2.175 -3.019 4.269
Ce -0.637 2.637 4.971
Ce 4.559 -0.524 3.302
Ce 3.021 -6.181 2.600
Ce 1.072 -2.516 2.158
Hg 3.356 -3.411 4.376
Hg -0.972 -0.132 3.195
Ir 2.845 -0.651 0.839
Ir 1.830 -4.797 0.358
Ir 6.827 -1.762 2.005
Ir 5.811 -5.907 1.524
```

**Volume**: 413 Å³ per cell
**E_tot**: -6.464 eV/atom
**Fermi-level density of states**: 48.62 states/eV per cell

***

# 3
A relaxed structure of Ce3HgIr2. Source: the Alexandria database, functional PBE.

```
12
Lattice="3.931 0.000 0.000 0.000 7.305 0.000 0.000 0.000 10.544" Properties=species:S:1:pos:R:3 pbc="T T T"
Ce 1.966 1.773 2.060
Ce 1.966 1.760 8.484
Ce 0.000 1.767 5.272
Ce 1.966 5.426 8.484
Ce 1.966 5.413 2.060
Ce 0.000 5.420 5.272
Hg 0.000 7.246 10.495
Hg 0.000 3.593 0.049
Ir 0.000 7.246 2.948
Ir 1.966 7.246 6.344
Ir 0.000 3.593 7.595
Ir 1.966 3.593 4.200
```

**Volume**: 303 Å³ per cell
**E_tot**: -6.519 eV/atom
**Fermi-level density of states**: 29.10 states/eV per cell

***

# 4
A relaxed structure of Ce4HgIr. Source: the Alexandria database, functional PBE.

```
12
Lattice="5.815 -0.551 0.000 -2.091 8.550 0.000 -1.862 -4.000 6.164" Properties=species:S:1:pos:R:3 pbc="T T T"
Ce -1.707 -1.733 4.856
Ce 1.867 2.912 3.769
Ce -1.200 2.009 4.856
Ce -1.051 5.363 3.769
Ce 2.913 -1.363 2.395
Ce 3.062 1.991 1.308
Ce -0.005 1.088 2.395
Ce 3.569 5.733 1.308
Hg 0.408 4.137 1.233
Hg 1.454 -0.138 4.931
Ir 1.454 -0.138 0.036
Ir 0.408 4.137 6.129
```

**Volume**: 299 Å³ per cell
**E_tot**: -5.850 eV/atom
**Fermi-level density of states**: 30.78 states/eV per cell

***

# 5
A relaxed structure of Ce5HgIr. Source: the Alexandria database, functional PBE.

```
7
Lattice="-8.912 -1.571 -3.427 1.093 -5.556 -0.297 2.816 3.187 4.879" Properties=species:S:1:pos:R:3 pbc="T T T"
Ce -6.481 -1.225 -0.937
Ce -7.850 -4.258 -3.377
Ce -1.582 -3.254 0.915
Ce -2.768 -1.873 -1.237
Ce -2.202 -4.751 -1.391
Hg -5.029 -3.761 -2.293
Ir -8.371 -1.475 -3.219
```

**Volume**: 177 Å³ per cell
**E_tot**: -5.481 eV/atom
**Fermi-level density of states**: 14.99 states/eV per cell

***

# 6
A relaxed structure of Ce5Hg2Ir. Source: the Alexandria database, functional PBE.

```
16
Lattice="5.664 0.000 0.000 -2.832 7.947 0.000 0.000 0.000 12.242" Properties=species:S:1:pos:R:3 pbc="T T T"
Ce 2.832 7.071 11.098
Ce 2.832 7.071 7.265
Ce 0.000 4.764 5.209
Ce 0.000 4.764 0.912
Ce 2.832 2.862 3.061
Ce 0.000 5.085 9.182
Ce 2.832 3.184 7.034
Ce 2.832 3.184 11.330
Ce 0.000 0.876 1.144
Ce 0.000 0.876 4.977
Hg 2.832 5.728 4.494
Hg 2.832 5.728 1.627
Hg 0.000 2.219 7.748
Hg 0.000 2.219 10.615
Ir 2.832 5.071 9.182
Ir 0.000 2.876 3.061
```

**Volume**: 551 Å³ per cell
**E_tot**: -4.909 eV/atom
**Fermi-level density of states**: 63.36 states/eV per cell

***

| no. | magnetization (μB/cell) | DFT formation energy (kJ/mol of formula units) |
| --- | --- | --- |
| 1 | 4.342 | -274 |
| 2 | 6.932 | -387 |
| 3 | 2.990 | -317 |
| 4 | 4.067 | -213 |
| 5 | 0.004 | 45 |
| 6 | 11.569 | -13 |